(1)
Material: ZnFe2Te
Method: DFT, PBEsol
State: relaxed

- Symmetry: Imm2, No. 44
- Energy above the most stable polymorph in this dataset: 0 meV/atom
- Energy: -5.457 eV/atom

a = 3.4617 Å, b = 3.9968 Å, c = 4.9251 Å
α = 113.94°, β = 110.58°, γ = 90.00°
Closest atoms and distances in Å follow each position.
Fractional coordinates of all 4 atoms:
Fe (0.0197, 0.0197, 0.0394)  2 Fe 2.50, 4 Te 2.66, 4 Zn 2.79-2.80
Fe (0.7372, 0.2372, 0.4745)  2 Fe 2.50, 4 Zn 2.65, 2 Te 2.71
Te (0.4884, 0.4884, 0.9768)  8 Fe 2.66-2.88, 4 Zn 2.79-2.81
Zn (0.2546, 0.7546, 0.5093)  8 Fe 2.65-2.80, 4 Te 2.79-2.81

(2)
Material: Zr2FeTe
Method: DFT, PBEsol
State: relaxed

- Symmetry: P4/mmm, No. 123
- Energy: -7.903 eV/atom

a = 3.8175 Å, b = 4.4410 Å, c = 4.4410 Å
α = 90.00°, β = 90.00°, γ = 90.00°
Closest atoms and distances in Å follow each position.
Fractional coordinates of all 4 atoms:
Fe (0.5000, 0.5000, 0.5000)  8 Zr 2.93, 4 Te 3.14
Te (0.5000, 0.0000, 0.0000)  8 Zr 2.93, 4 Fe 3.14
Zr (0.0000, 0.0000, 0.5000)  4 Fe 2.93, 4 Te 2.93, 4 Zr 3.14
Zr (0.0000, 0.5000, 0.0000)  4 Fe 2.93, 4 Te 2.93, 4 Zr 3.14

(3)
Material: ZrFe2Te
Method: DFT, PBEsol
State: relaxed

- Symmetry: P4mm, No. 99
- Energy: -7.588 eV/atom

a = 3.2564 Å, b = 3.2564 Å, c = 6.2153 Å
α = 90.00°, β = 90.00°, γ = 90.00°
Closest atoms and distances in Å follow each position.
Fractional coordinates of all 4 atoms:
Fe (0.0000, 0.0000, 0.0331)  4 Fe 2.58, 1 Te 2.65, 4 Zr 2.76
Fe (0.5000, 0.5000, 0.2198)  4 Fe 2.58, 1 Zr 2.69, 4 Te 2.74
Te (0.0000, 0.0000, 0.4595)  5 Fe 2.65-2.74
Zr (0.5000, 0.5000, 0.7876)  5 Fe 2.69-2.76

(4)
Material: ZrFe2Te
Method: DFT, PBEsol
State: relaxed

- Symmetry: Pm, No. 6
- Energy: -7.585 eV/atom

a = 3.3344 Å, b = 4.1630 Å, c = 4.9084 Å
α = 90.00°, β = 102.43°, γ = 90.00°
Closest atoms and distances in Å follow each position.
Fractional coordinates of all 4 atoms:
Fe (0.9585, 0.0000, 0.0484)  2 Fe 2.48, 2 Te 2.64-2.69
Fe (0.6780, 0.5000, 0.2092)  1 Zr 2.44, 2 Fe 2.48, 2 Te 2.53
Te (0.6378, 0.0000, 0.4954)  5 Fe 2.53-2.79
Zr (0.2258, 0.5000, 0.7470)  1 Fe 2.44

(5)
Material: ZrFeTe4
Method: DFT, PBEsol
State: relaxed

- Symmetry: F-43m, No. 216
- Energy: -4.426 eV/atom

a = 6.0611 Å, b = 6.0611 Å, c = 6.0611 Å
α = 60.00°, β = 60.00°, γ = 60.00°
Closest atoms and distances in Å follow each position.
Fractional coordinates of all 6 atoms:
Fe (0.0000, 0.0000, 0.0000)  12 Te 3.55, 4 Zr 3.71
Te (0.3750, 0.3750, 0.3750)  6 Te 3.03
Te (0.3750, 0.3750, 0.8751)  6 Te 3.03
Te (0.8751, 0.3750, 0.3750)  6 Te 3.03
Te (0.3750, 0.8751, 0.3750)  6 Te 3.03
Zr (0.7500, 0.7500, 0.7500)  12 Te 3.55, 4 Fe 3.71

(6)
Material: ZrFe2Te
Method: DFT, PBEsol
State: relaxed

- Symmetry: R-3m, No. 166
- Energy: -7.289 eV/atom

a = 3.2092 Å, b = 3.2092 Å, c = 7.7521 Å
α = 78.05°, β = 78.05°, γ = 60.00°
Closest atoms and distances in Å follow each position.
Fractional coordinates of all 4 atoms:
Fe (0.2490, 0.2490, 0.2529)  3 Te 2.63, 3 Zr 2.66
Fe (0.7510, 0.7510, 0.7471)  3 Te 2.63, 3 Zr 2.66
Te (0.5000, 0.5000, 0.5000)  6 Fe 2.63
Zr (0.0000, 0.0000, 0.0000)  6 Fe 2.66

(7)
Material: Zr6FeTe2
Method: DFT, PBEsol
State: relaxed

- Symmetry: P-62m, No. 189
- Energy: -8.432 eV/atom

a = 3.5472 Å, b = 7.7316 Å, c = 7.7316 Å
α = 120.00°, β = 90.00°, γ = 90.00°
Closest atoms and distances in Å follow each position.
Fractional coordinates of all 9 atoms:
Zr (0.5000, 0.2397, 0.0000)  2 Fe 2.57
Zr (0.0000, 0.0000, 0.5967)  4 Te 2.95, 1 Fe 3.12, 6 Zr 3.24-3.28
Zr (0.5000, 0.7603, 0.7603)  2 Fe 2.57
Zr (0.5000, 0.0000, 0.2397)  2 Fe 2.57
Zr (0.0000, 0.4033, 0.4033)  4 Te 2.95, 1 Fe 3.12, 6 Zr 3.24-3.28
Zr (0.0000, 0.5967, 0.0000)  4 Te 2.95, 1 Fe 3.12, 6 Zr 3.24-3.28
Fe (0.0000, 0.0000, 0.0000)  6 Zr 2.57
Te (0.5000, 0.3333, 0.6667)  9 Zr 2.95-3.01
Te (0.5000, 0.6667, 0.3333)  9 Zr 2.95-3.01

(8)
Material: Zr2FeTe
Method: DFT, PBEsol
State: relaxed

- Symmetry: Imm2, No. 44
- Energy: -7.948 eV/atom

a = 3.4119 Å, b = 4.4458 Å, c = 5.6352 Å
α = 113.23°, β = 107.62°, γ = 90.00°
Closest atoms and distances in Å follow each position.
Fractional coordinates of all 4 atoms:
Fe (0.4972, 0.4972, 0.9945)  2 Te 2.67, 6 Zr 2.77-2.80
Te (0.7876, 0.2876, 0.5752)  2 Fe 2.67, 4 Zr 2.88
Zr (0.9954, 0.9954, 0.9908)  4 Fe 2.80, 2 Te 3.01, 2 Zr 3.12
Zr (0.2198, 0.7198, 0.4396)  2 Fe 2.77, 4 Te 2.88

Raw formation energy (computed, kJ/mol of formula units): 116; -91; 19; 19; 540; 134; -515; -108
Total magnetic moment (computed, μB per cell): 4.32; 2.12; 4.04; 3.85; 2.36; 2.60; 0.00; 0.51